A:
DFT (PBE with a Hubbard U) results for a relaxed structure of BaMoI2O.

abc: 6.775 6.775 4.518
angles: 90.00 90.00 90.00
Space group P4/mmm (No. 123)
Symmetry-distinct sites (fractional):
Ba: 0.000 0.000 0.000
Mo: 0.500 0.500 0.500
I: 0.000 0.500 0.000
O: 0.000 0.000 0.500



B:
DFT (PBE with a Hubbard U) results for a relaxed structure of BaMoI2O.

abc: 6.275 6.275 4.026
angles: 90.00 90.00 90.00
Space group P4/mmm (No. 123)
Symmetry-distinct sites (fractional):
Ba: 0.000 0.000 0.000
Mo: 0.500 0.500 0.500
I: 0.000 0.500 0.500
O: 0.500 0.500 0.000



Pick the most stable structure from those above. Pick: B